Entry 1:
Computed, not measured: a geometry-optimized RbMnBe2Br8 structure at the PBE level of DFT.

Cell lengths 6.3783, 6.3783, 10.9840 Å; angles 73.12, 73.12, 60.00 degrees
Last column: nearest neighbours and their distance in Å.
Element x y z (fractional)
Rb  0.5000  0.5000  0.5000  6 Br 3.77
Mn  0.0000  0.0000  0.0000  6 Br 2.59
Be  0.2623  0.2623  0.2130  4 Br 2.14-2.22
Be  0.7377  0.7377  0.7870  4 Br 2.14-2.22
Br  0.1934  0.1934  0.4198  1 Be 2.14
Br  0.6211  0.2737  0.1482  1 Be 2.22
Br  0.8066  0.8066  0.5802  1 Be 2.14
Br  0.9571  0.6211  0.1482  1 Be 2.22
Br  0.0429  0.3789  0.8518  1 Be 2.22
Br  0.2737  0.9571  0.1482  1 Be 2.22
Br  0.7263  0.0429  0.8518  1 Be 2.22
Br  0.3789  0.7263  0.8518  1 Be 2.22

## Properties
The calculated density comes out at 3.63 Mg/m³. For the total energy, the calculation gives -3.540 eV/atom. For the density of states at the Fermi level, the calculation gives 5.55 states/eV per cell.



Entry 2:
Computed, not measured: a geometry-optimized RbMn2BeBr structure at the PBE level of DFT.

Cell lengths 4.9053, 6.2995, 4.9053 Å; angles 90.00, 90.00, 90.00 degrees
Last column: nearest neighbours and their distance in Å.
Element x y z (fractional)
Be  0.0000  0.5000  0.0000  2 Br 3.15, 4 Rb 3.47
Mn  0.0000  0.0000  0.5000  2 Br 2.45
Mn  0.5000  0.0000  0.0000  2 Br 2.45
Br  0.0000  0.0000  0.0000  4 Mn 2.45
Rb  0.5000  0.5000  0.5000  4 Be 3.47

## Properties
The calculated density comes out at 3.11 Mg/m³. For the total energy, the calculation gives -3.670 eV/atom. For the density of states at the Fermi level, the calculation gives 6.05 states/eV per cell.



Entry 3:
Computed, not measured: a geometry-optimized MnBeSb2Br structure at the PBE level of DFT.

Cell lengths 4.8727, 4.9222, 4.8727 Å; angles 90.00, 90.00, 90.00 degrees
Last column: nearest neighbours and their distance in Å.
Element x y z (fractional)
Sb  0.0000  0.0000  0.5000  2 Be 2.44
Sb  0.5000  0.0000  0.0000  2 Be 2.44
Mn  0.0000  0.5000  0.0000  2 Be 2.46
Br  0.5000  0.5000  0.5000  4 Mn 3.45, 8 Sb 3.46
Be  0.0000  0.0000  0.0000  4 Sb 2.44, 2 Mn 2.46

## Properties
The calculated density comes out at 5.50 Mg/m³. For the total energy, the calculation gives -4.035 eV/atom. For the density of states at the Fermi level, the calculation gives 2.21 states/eV per cell.



Entry 4:
Computed, not measured: a geometry-optimized MnBeSeBr2 structure at the PBE level of DFT.

Cell lengths 5.0788, 5.0788, 4.5025 Å; angles 90.00, 90.00, 90.00 degrees
Last column: nearest neighbours and their distance in Å.
Element x y z (fractional)
Be  0.5000  0.5000  0.5000  8 Br 3.39, 4 Se 3.59
Mn  0.0000  0.0000  0.0000  2 Se 2.25
Se  0.0000  0.0000  0.5000  2 Mn 2.25
Br  0.0000  0.5000  0.0000  2 Mn 2.54
Br  0.5000  0.0000  0.0000  2 Mn 2.54

## Properties
The calculated density comes out at 4.33 Mg/m³. As for the energy above the most stable polymorph in this dataset: 2.81 eV/f.u. For the density of states at the Fermi level, the calculation gives 7.42 states/eV per cell.



Entry 5:
Computed, not measured: a geometry-optimized MnBeSeBr2 structure at the PBE level of DFT.

Cell lengths 4.5987, 4.5987, 5.2137 Å; angles 90.00, 90.00, 90.00 degrees
Last column: nearest neighbours and their distance in Å.
Element x y z (fractional)
Be  0.0000  0.0000  0.0000  4 Br 2.30
Mn  0.5000  0.5000  0.5000  4 Se 3.25, 8 Br 3.48
Se  0.0000  0.0000  0.5000  2 Be 2.61
Br  0.0000  0.5000  0.0000  2 Be 2.30
Br  0.5000  0.0000  0.0000  2 Be 2.30

## Properties
The calculated density comes out at 4.56 Mg/m³. As for the energy above the most stable polymorph in this dataset: 0.00 eV/f.u. For the density of states at the Fermi level, the calculation gives 1.18 states/eV per cell.



Entry 6:
Computed, not measured: a geometry-optimized MnBeSi2Br structure at the PBE level of DFT.

Cell lengths 4.4709, 4.5453, 4.4709 Å; angles 90.00, 90.00, 90.00 degrees
Last column: nearest neighbours and their distance in Å.
Element x y z (fractional)
Be  0.0000  0.5000  0.0000  2 Mn 2.27
Si  0.0000  0.0000  0.5000  2 Mn 2.24
Si  0.5000  0.0000  0.0000  2 Mn 2.24
Mn  0.0000  0.0000  0.0000  4 Si 2.24, 2 Be 2.27
Br  0.5000  0.5000  0.5000  4 Be 3.16, 8 Si 3.19

## Properties
The calculated density comes out at 3.66 Mg/m³. For the total energy, the calculation gives -4.549 eV/atom. For the density of states at the Fermi level, the calculation gives 4.86 states/eV per cell.



Entry 7:
Computed, not measured: a geometry-optimized Ta2MnBeBr structure at the PBE level of DFT.

Cell lengths 4.6916, 4.2110, 4.6916 Å; angles 90.00, 90.00, 90.00 degrees
Last column: nearest neighbours and their distance in Å.
Element x y z (fractional)
Be  0.5000  0.5000  0.5000  8 Ta 3.15, 4 Mn 3.32
Mn  0.0000  0.5000  0.0000  2 Br 2.11
Br  0.0000  0.0000  0.0000  2 Mn 2.11, 4 Ta 2.35
Ta  0.0000  0.0000  0.5000  2 Br 2.35
Ta  0.5000  0.0000  0.0000  2 Br 2.35

## Properties
The calculated density comes out at 9.06 Mg/m³. For the total energy, the calculation gives -6.006 eV/atom. For the density of states at the Fermi level, the calculation gives 3.33 states/eV per cell.



Entry 8:
Computed, not measured: a geometry-optimized TaMnBeBr2 structure at the PBE level of DFT.

Cell lengths 4.3471, 4.6296, 4.3471 Å; angles 90.00, 90.00, 90.00 degrees
Last column: nearest neighbours and their distance in Å.
Element x y z (fractional)
Be  0.0000  0.0000  0.0000  4 Br 2.17, 2 Mn 2.31
Mn  0.0000  0.5000  0.0000  2 Be 2.31
Br  0.0000  0.0000  0.5000  2 Be 2.17
Br  0.5000  0.0000  0.0000  2 Be 2.17
Ta  0.5000  0.5000  0.5000  4 Mn 3.07, 8 Br 3.18

## Properties
The calculated density comes out at 7.68 Mg/m³. For the total energy, the calculation gives -4.422 eV/atom. For the density of states at the Fermi level, the calculation gives 4.01 states/eV per cell.



What did the fifth record say?
Computed, not measured: a geometry-optimized MnBeSeBr2 structure at the PBE level of DFT.

Cell lengths 4.5987, 4.5987, 5.2137 Å; angles 90.00, 90.00, 90.00 degrees
Last column: nearest neighbours and their distance in Å.
Element x y z (fractional)
Be  0.0000  0.0000  0.0000  4 Br 2.30
Mn  0.5000  0.5000  0.5000  4 Se 3.25, 8 Br 3.48
Se  0.0000  0.0000  0.5000  2 Be 2.61
Br  0.0000  0.5000  0.0000  2 Be 2.30
Br  0.5000  0.0000  0.0000  2 Be 2.30

## Properties
The calculated density comes out at 4.56 Mg/m³. As for the energy above the most stable polymorph in this dataset: 0.00 eV/f.u. For the density of states at the Fermi level, the calculation gives 1.18 states/eV per cell.